No. 1
Here is a relaxed Ti3AlRe crystal from the Alexandria database. Energies are from PBE.

Summary:
- energy of formation from the pure elements (kJ per mole of atoms) = 59.08
- energy relative to the lowest polymorph listed for this composition (meV/atom) = 970

Lattice parameters (Å, degrees): 4.736 4.736 4.736 90.00 90.00 90.00
Positions (direct):
1 Ti 0.000 0.000 0.500
2 Ti 0.000 0.500 0.000
3 Ti 0.500 0.000 0.000
4 Al 0.500 0.500 0.500
5 Re 0.000 0.000 0.000



No. 2
Here is a relaxed ReP3Pb crystal from the Alexandria database. Energies are from PBE.

Summary:
- energy of formation from the pure elements (kJ per mole of atoms) = 47.23
- energy relative to the lowest polymorph listed for this composition (meV/atom) = 0

Lattice parameters (Å, degrees): 4.720 4.720 4.720 90.00 90.00 90.00
Positions (direct):
1 Re 0.000 0.000 0.000
2 P 0.000 0.000 0.500
3 P 0.000 0.500 0.000
4 P 0.500 0.000 0.000
5 Pb 0.500 0.500 0.500



No. 3
Here is a relaxed Na3ReO crystal from the Alexandria database. Energies are from PBE.

Summary:
- energy relative to the lowest polymorph listed for this composition (meV/atom) = 1094
- E_form (uncorrected) (kJ/mol of atoms) = 155.27

Lattice parameters (Å, degrees): 5.738 5.738 5.738 90.00 90.00 90.00
Positions (direct):
1 Na 0.000 0.000 0.500
2 Na 0.000 0.500 0.000
3 Na 0.500 0.000 0.000
4 Re 0.000 0.000 0.000
5 O 0.500 0.500 0.500



No. 4
Here is a relaxed Ac8Pm2Tm3 crystal from the Alexandria database. Energies are from PBE.

Summary:
- energy of formation from the pure elements (kJ per mole of atoms) = 21.85

Lattice parameters (Å, degrees): 11.240 11.240 6.092 90.00 90.00 135.61
Positions (direct):
1 Ac 0.125 0.875 0.000
2 Ac 0.192 0.399 0.500
3 Ac 0.325 0.675 0.000
4 Ac 0.399 0.192 0.500
5 Ac 0.601 0.808 0.500
6 Ac 0.675 0.325 0.000
7 Ac 0.808 0.601 0.500
8 Ac 0.875 0.125 0.000
9 Pm 0.237 0.763 0.500
10 Pm 0.763 0.237 0.500
11 Tm 0.000 0.000 0.500
12 Tm 0.298 0.298 0.000
13 Tm 0.702 0.702 0.000



No. 5
Here is a relaxed TaTcMo2 crystal from the Alexandria database. Energies are from PBE.

Summary:
- energy of formation from the pure elements (kJ per mole of atoms) = -12.63
- energy relative to the lowest polymorph listed for this composition (meV/atom) = 47

Lattice parameters (Å, degrees): 5.264 5.264 5.264 144.94 129.20 63.22
Positions (direct):
1 Ta 0.000 0.000 0.000
2 Tc 0.251 0.751 0.500
3 Mo 0.501 0.501 0.000
4 Mo 0.747 0.247 0.500



No. 6
Here is a relaxed CaEr2Au3 crystal from the Alexandria database. Energies are from PBE.

Summary:
- energy of formation from the pure elements (kJ per mole of atoms) = -81.27
- energy relative to the lowest polymorph listed for this composition (meV/atom) = 18

Lattice parameters (Å, degrees): 5.051 5.051 12.469 90.00 90.00 120.00
Positions (direct):
1 Ca 0.333 0.667 0.167
2 Ca 0.667 0.333 0.833
3 Er 0.000 0.000 0.000
4 Er 0.000 0.000 0.500
5 Er 0.333 0.667 0.669
6 Er 0.667 0.333 0.331
7 Au 0.000 0.000 0.257
8 Au 0.000 0.000 0.743
9 Au 0.333 0.667 0.426
10 Au 0.333 0.667 0.919
11 Au 0.667 0.333 0.081
12 Au 0.667 0.333 0.574



No. 7
Here is a relaxed Mg5W crystal from the Alexandria database. Energies are from PBE.

Summary:
- energy of formation from the pure elements (kJ per mole of atoms) = 31.85
- energy relative to the lowest polymorph listed for this composition (meV/atom) = 97

Lattice parameters (Å, degrees): 6.808 6.808 4.313 90.00 90.00 143.33
Positions (direct):
1 Mg 0.000 0.000 0.000
2 Mg 0.158 0.842 0.500
3 Mg 0.344 0.656 0.000
4 Mg 0.656 0.344 0.000
5 Mg 0.842 0.158 0.500
6 W 0.500 0.500 0.500



No. 8
Here is a relaxed LaRu3 crystal from the Alexandria database. Energies are from PBE.

Summary:
- energy of formation from the pure elements (kJ per mole of atoms) = 26.23

Lattice parameters (Å, degrees): 2.837 3.771 6.755 90.00 90.00 90.00
Positions (direct):
1 La 0.000 0.000 0.000
2 Ru 0.000 0.000 0.500
3 Ru 0.500 0.500 0.312
4 Ru 0.500 0.500 0.688



No. 9
Here is a relaxed TaRe crystal from the Alexandria database. Energies are from PBE.

Summary:
- energy of formation from the pure elements (kJ per mole of atoms) = -19.39

Lattice parameters (Å, degrees): 2.794 2.794 4.479 90.00 90.00 110.51
Positions (direct):
1 Ta 0.000 0.000 0.000
2 Re 0.500 0.500 0.500



No. 10
Here is a relaxed PrCdIrO6 crystal from the Alexandria database. Energies are from PBE.

Summary:
- E_form (uncorrected) (kJ/mol of atoms) = -128.69

Lattice parameters (Å, degrees): 5.761 5.761 8.791 90.00 90.00 120.00
Positions (direct):
1 Pr 0.333 0.667 0.250
2 Pr 0.667 0.333 0.750
3 Cd 0.000 0.000 0.000
4 Cd 0.000 0.000 0.500
5 Ir 0.333 0.667 0.750
6 Ir 0.667 0.333 0.250
7 O 0.058 0.387 0.627
8 O 0.058 0.671 0.873
9 O 0.329 0.387 0.873
10 O 0.329 0.942 0.627
11 O 0.387 0.058 0.127
12 O 0.387 0.329 0.373
13 O 0.613 0.671 0.627
14 O 0.613 0.942 0.873
15 O 0.671 0.058 0.373
16 O 0.671 0.613 0.127
17 O 0.942 0.329 0.127
18 O 0.942 0.613 0.373



No. 11
Here is a relaxed CePr3Nd2P6 crystal from the Alexandria database. Energies are from PBE.

Summary:
- energy of formation from the pure elements (kJ per mole of atoms) = -147.72

Lattice parameters (Å, degrees): 7.220 7.220 7.225 99.59 99.59 119.99
Positions (direct):
1 Ce 0.000 0.000 0.000
2 Pr 0.168 0.832 0.500
3 Pr 0.500 0.500 0.500
4 Pr 0.832 0.168 0.500
5 Nd 0.334 0.666 0.000
6 Nd 0.666 0.334 0.000
7 P 0.081 0.409 0.244
8 P 0.246 0.246 0.756
9 P 0.409 0.081 0.244
10 P 0.591 0.919 0.756
11 P 0.754 0.754 0.244
12 P 0.919 0.591 0.756



No. 12
Here is a relaxed Fe5Ir3 crystal from the Alexandria database. Energies are from PBE.

Summary:
- energy of formation from the pure elements (kJ per mole of atoms) = 11.02
- energy relative to the lowest polymorph listed for this composition (meV/atom) = 103

Lattice parameters (Å, degrees): 4.687 6.699 7.086 87.14 79.75 77.55
Positions (direct):
1 Fe 0.031 0.170 0.170
2 Fe 0.161 0.778 0.157
3 Fe 0.254 0.002 0.493
4 Fe 0.371 0.323 0.630
5 Fe 0.446 0.339 0.286
6 Fe 0.554 0.661 0.714
7 Fe 0.629 0.677 0.370
8 Fe 0.746 0.998 0.507
9 Fe 0.839 0.222 0.843
10 Fe 0.969 0.830 0.830
11 Ir 0.110 0.654 0.510
12 Ir 0.275 0.434 0.960
13 Ir 0.386 0.018 0.848
14 Ir 0.614 0.982 0.152
15 Ir 0.725 0.566 0.040
16 Ir 0.890 0.346 0.490